Record 1
Compound: MgHg4Pt
Source: Alexandria via LeMat-Bulk
Functional: PBE-GGA
Structure: optimized geometry

Geometry as CIF:
```
data_MgHg4Pt
_chemical_formula_sum 'Mg1 Hg4 Pt1'
_symmetry_space_group_name_H-M 'P 1'
_symmetry_Int_Tables_number 1
_cell_length_a 5.7053
_cell_length_b 5.7053
_cell_length_c 5.7053
_cell_angle_alpha 60.00
_cell_angle_beta 60.00
_cell_angle_gamma 60.00
loop_
_symmetry_equiv_pos_as_xyz
'x,y,z'
loop_
_atom_site_label
_atom_site_type_symbol
_atom_site_fract_x
_atom_site_fract_y
_atom_site_fract_z
_atom_site_occupancy
Mg1 Mg 0.0000 0.0000 0.0000 1
Hg1 Hg 0.3752 0.3752 0.3752 1
Hg2 Hg 0.3752 0.3752 0.8743 1
Hg3 Hg 0.3752 0.8743 0.3752 1
Hg4 Hg 0.8743 0.3752 0.3752 1
Pt1 Pt 0.7500 0.7500 0.7500 1
```

Its total energy is -1.20 eV/atom. For the size of the total moment, the calculation gives 0.00 μB/atom. The formation energy is 27 kJ/mol of atoms.



Record 2
Compound: Mg2Hg2Pt
Source: Alexandria via LeMat-Bulk
Functional: PBE-GGA
Structure: optimized geometry

Geometry as CIF:
```
data_Mg2Hg2Pt
_chemical_formula_sum 'Mg2 Hg2 Pt1'
_symmetry_space_group_name_H-M 'P 1'
_symmetry_Int_Tables_number 1
_cell_length_a 10.4069
_cell_length_b 10.4069
_cell_length_c 10.4069
_cell_angle_alpha 162.74
_cell_angle_beta 162.74
_cell_angle_gamma 24.50
loop_
_symmetry_equiv_pos_as_xyz
'x,y,z'
loop_
_atom_site_label
_atom_site_type_symbol
_atom_site_fract_x
_atom_site_fract_y
_atom_site_fract_z
_atom_site_occupancy
Mg1 Mg 0.0801 0.0801 0.0000 1
Mg2 Mg 0.9199 0.9199 0.0000 1
Hg1 Hg 0.3139 0.3139 0.0000 1
Hg2 Hg 0.6861 0.6861 0.0000 1
Pt1 Pt 0.5000 0.5000 0.0000 1
```

Its total energy is -2.40 eV/atom. For the size of the total moment, the calculation gives 0.00 μB/atom. The formation energy is -41 kJ/mol of atoms.



Record 3
Compound: MgHg2Pt
Source: Alexandria via LeMat-Bulk
Functional: PBE-GGA
Structure: optimized geometry

Geometry as CIF:
```
data_MgHg2Pt
_chemical_formula_sum 'Mg1 Hg2 Pt1'
_symmetry_space_group_name_H-M 'P 1'
_symmetry_Int_Tables_number 1
_cell_length_a 4.1195
_cell_length_b 4.2901
_cell_length_c 4.3038
_cell_angle_alpha 90.00
_cell_angle_beta 90.00
_cell_angle_gamma 90.00
loop_
_symmetry_equiv_pos_as_xyz
'x,y,z'
loop_
_atom_site_label
_atom_site_type_symbol
_atom_site_fract_x
_atom_site_fract_y
_atom_site_fract_z
_atom_site_occupancy
Mg1 Mg 0.0000 0.0000 0.0000 1
Hg1 Hg 0.0000 0.5000 0.5000 1
Hg2 Hg 0.5000 0.0000 0.5000 1
Pt1 Pt 0.5000 0.5000 0.0000 1
```

Its total energy is -2.24 eV/atom. For the size of the total moment, the calculation gives 0.00 μB/atom. The formation energy is -18 kJ/mol of atoms.